Entry 1:
{
  "formula": "GeB6Rh12",
  "functional": "PBE-GGA",
  "state": "relaxed",
  "lattice_angstrom": [[-3.298, 1.116, 5.636], [-1.778, -5.884, -2.471], [6.512, 0.009, 1.214]],
  "species": ["Rh", "Rh", "Rh", "Rh", "Rh", "Rh", "Rh", "Rh", "Rh", "Rh", "Rh", "Rh", "B", "B", "B", "B", "B", "B", "Ge"],
  "fractional_positions": [[0.490, 0.182, 0.307], [0.818, 0.307, 0.125], [0.510, 0.818, 0.693], [0.125, 0.818, 0.307], [0.693, 0.875, 0.182], [0.307, 0.125, 0.818], [0.818, 0.693, 0.510], [0.182, 0.307, 0.490], [0.182, 0.693, 0.875], [0.307, 0.490, 0.182], [0.875, 0.182, 0.693], [0.693, 0.510, 0.818], [0.500, 0.119, 0.619], [0.619, 0.500, 0.119], [0.381, 0.500, 0.881], [0.500, 0.881, 0.381], [0.119, 0.619, 0.500], [0.881, 0.381, 0.500], [0.000, 0.000, 0.000]],
  "final_energy_ev_per_cell": -138.473
}

=====

Entry 2:
{
  "formula": "Ge2AsS",
  "functional": "PBE-GGA",
  "state": "relaxed",
  "lattice_angstrom": [[3.710, 0.000, 0.000], [1.855, 3.213, 0.000], [1.855, 1.071, 7.477]],
  "species": ["Ge", "Ge", "S", "As"],
  "fractional_positions": [[0.269, 0.269, 0.192], [0.089, 0.089, 0.732], [0.480, 0.480, 0.559], [0.661, 0.661, 0.018]],
  "final_energy_ev_per_cell": -17.994,
  "raw_formation_energy_mev_per_atom": 4
}